Below is a geometry-optimized K2Rb2MnO4 structure, with properties calculated at the GGA+U level.

a b c (Å): 6.149 6.149 6.149
angles (deg): 118.00 118.00 93.49
Positions (direct):
K1 0.160 0.160 0.000
K2 0.840 0.840 0.000
Rb1 0.250 0.750 0.500
Rb2 0.750 0.250 0.500
Mn1 0.500 0.500 0.000
O1 0.286 0.286 0.572
O2 0.286 0.714 0.000
O3 0.714 0.286 0.000
O4 0.714 0.714 0.428

Results
Space group: I4/mmm (139)
Calculated volume in A^3/atom: 18.781
N(E_F) in states/eV per atom: 0.071
DFT total energy in eV per atom: -4.558